--- one ---
PBE CaBiPCl2, relaxed; SG = P4/mmm (123); DOS at the Fermi energy = 0.67 states/eV per atom
1.0
4.982 0.000 0.000
0.000 4.982 0.000
0.000 0.000 6.033
Ca Bi P Cl
1 1 1 2
direct
0.000 0.000 0.000
0.500 0.500 0.500
0.000 0.000 0.500
0.000 0.500 0.000
0.500 0.000 0.000


--- two ---
PBE CaBiPCl2, relaxed; SG = P4/mmm (123); DOS at the Fermi energy = 0.22 states/eV per atom
1.0
5.390 0.000 0.000
0.000 5.390 0.000
0.000 0.000 5.431
Ca Bi P Cl
1 1 1 2
direct
0.000 0.000 0.000
0.500 0.500 0.500
0.500 0.500 0.000
0.000 0.500 0.500
0.500 0.000 0.500


Quick ranking, most stable first: one, two.


--- one ---
PBE Rb2CaBiCl6, relaxed; SG = I4/mmm (139); DOS at the Fermi energy = 0.00 states/eV per atom
1.0
-3.852 3.852 6.081
3.852 -3.852 6.081
3.852 3.852 -6.081
Rb Ca Bi Cl
2 1 1 6
direct
0.250 0.750 0.500
0.750 0.250 0.500
0.000 0.000 0.000
0.500 0.500 0.000
0.221 0.221 0.000
0.250 0.250 0.501
0.250 0.750 0.000
0.750 0.250 0.000
0.750 0.750 0.499
0.779 0.779 0.000


--- two ---
PBE Rb2CaBiCl6, relaxed; SG = P-1 (2)
1.0
7.295 0.000 0.000
-0.215 7.541 0.000
-3.260 -3.816 6.269
Rb Ca Bi Cl
2 1 1 6
direct
0.234 0.234 0.460
0.766 0.766 0.540
0.500 0.000 0.000
0.000 0.500 0.000
0.178 0.184 0.996
0.256 0.721 0.582
0.366 0.763 0.137
0.634 0.237 0.863
0.744 0.279 0.418
0.822 0.816 0.004


Quick ranking, most stable first: two, one.